[1]
Pr2NdHo6Tm3 PBE optimized geometry; energy of formation from the pure elements = 24 meV per atom; density = 8.346 g cm⁻³; crystal system = monoclinic; SG = C2/m
1.0
-5.800 0.251 -2.096
2.574 -5.456 1.302
-2.829 2.491 11.152
Tm Nd Ho Pr
3 1 6 2
direct
0.833 0.167 0.500
0.167 0.833 0.500
0.500 0.500 0.500
0.000 0.000 0.000
0.419 0.086 0.256
0.753 0.753 0.256
0.247 0.247 0.744
0.086 0.419 0.256
0.914 0.581 0.744
0.581 0.914 0.744
0.333 0.667 0.000
0.667 0.333 0.000



[2]
FeRuPt2 PBE optimized geometry; energy of formation from the pure elements = -44 meV per atom; density = 15.919 g cm⁻³; crystal system = tetragonal; SG = P4mm
1.0
2.727 0.007 0.000
-0.007 2.727 0.000
0.000 0.000 7.674
Ru Fe Pt
1 1 2
direct
0.000 0.000 0.517
0.500 0.500 0.742
0.500 0.500 0.260
0.000 0.000 0.981



[3]
Tb2Ho3Hg7 PBE optimized geometry; energy of formation from the pure elements = -298 meV per atom; density = 11.440 g cm⁻³; crystal system = orthorhombic; SG = Cmmm
1.0
-3.013 0.391 4.480
-4.302 0.046 -2.897
1.604 -11.454 2.078
Hg Tb Ho
7 2 3
direct
0.000 0.278 0.557
0.500 0.083 0.166
0.000 0.575 0.149
0.500 0.917 0.834
0.000 0.425 0.851
0.000 0.000 0.000
0.000 0.722 0.443
0.000 0.145 0.289
0.000 0.855 0.711
0.500 0.500 0.000
0.500 0.335 0.671
0.500 0.665 0.329



[4]
Sr2LiNiI PBE optimized geometry; density = 3.774 g cm⁻³; crystal system = tetragonal; SG = P4/mmm; uncorrected formation energy = -0.293 eV/atom
1.0
-2.541 -4.042 3.392
2.798 -4.224 -2.938
3.604 0.279 3.032
Ni I Sr Li
1 1 2 1
direct
0.000 0.000 0.000
0.500 0.500 0.500
0.500 0.000 0.000
0.000 0.500 0.000
0.000 0.000 0.500



[5]
KFeRe PBE optimized geometry; energy of formation from the pure elements = 2132 meV per atom; relative energy among the computed polymorphs = 1200 meV per atom; density = 7.943 g cm⁻³; crystal system = cubic; SG = F-43m
1.0
-3.085 3.081 -0.196
-1.686 1.157 -3.855
-4.107 -1.086 -0.999
K Re Fe
1 1 1
direct
0.000 0.000 0.000
0.500 0.500 0.500
0.250 0.250 0.250



[6]
AcTh PBE optimized geometry; energy of formation from the pure elements = 173 meV per atom; relative energy among the computed polymorphs = 45 meV per atom; density = 10.113 g cm⁻³; crystal system = hexagonal; SG = P-6m2
1.0
3.727 0.000 0.000
-1.863 3.228 0.000
0.000 0.000 6.266
Th Ac
1 1
direct
0.333 0.667 0.250
0.667 0.333 0.750



[7]
Mn2HgAu8 PBE optimized geometry; energy of formation from the pure elements = -22 meV per atom; density = 15.888 g cm⁻³; crystal system = monoclinic; SG = C2/m
1.0
4.067 0.000 -1.083
-0.486 6.505 -1.826
-0.153 -0.367 7.604
Au Mn Hg
8 2 1
direct
0.046 0.723 0.092
0.683 0.914 0.365
0.398 0.537 0.796
0.148 0.211 0.297
0.852 0.789 0.703
0.602 0.463 0.204
0.317 0.086 0.635
0.954 0.277 0.908
0.224 0.647 0.447
0.776 0.353 0.553
0.500 0.000 0.000



[8]
Pm6AgOs2 PBE optimized geometry; energy of formation from the pure elements = -146 meV per atom; density = 9.037 g cm⁻³; crystal system = orthorhombic; SG = Immm
1.0
8.120 -0.050 -3.034
-4.292 7.146 -2.377
-0.158 0.050 8.667
Pm Ag Os
12 2 4
direct
0.315 0.986 0.671
0.315 0.644 0.329
0.200 0.758 0.959
0.800 0.242 0.041
0.685 0.356 0.671
0.541 0.723 0.818
0.200 0.242 0.442
0.459 0.277 0.182
0.905 0.723 0.182
0.685 0.014 0.329
0.095 0.277 0.818
0.800 0.758 0.558
0.000 0.500 0.500
0.000 0.000 0.000
0.500 0.382 0.882
0.325 0.000 0.325
0.500 0.618 0.118
0.675 0.000 0.675



[9]
GaCu3S3 PBE optimized geometry; density = 3.860 g cm⁻³; crystal system = monoclinic; SG = P2_1/m; uncorrected formation energy = -0.260 eV/atom
1.0
-2.390 2.302 2.196
-7.333 -5.054 -2.684
4.593 -2.638 7.763
S Ga Cu
6 2 6
direct
0.250 0.850 0.235
0.750 0.600 0.845
0.250 0.749 0.592
0.750 0.251 0.408
0.250 0.400 0.155
0.750 0.150 0.765
0.750 0.332 0.673
0.250 0.668 0.327
0.250 0.661 0.969
0.750 0.976 0.309
0.250 0.024 0.691
0.750 0.681 0.653
0.750 0.339 0.031
0.250 0.319 0.347



[10]
Li2TiBeMo PBE optimized geometry; energy of formation from the pure elements = 1417 meV per atom; density = 2.903 g cm⁻³; crystal system = tetragonal; SG = P4/mmm
1.0
-3.605 2.821 -0.720
-1.068 -2.296 -3.648
-2.690 -2.788 2.542
Li Be Mo Ti
2 1 1 1
direct
0.000 0.000 0.500
0.500 0.000 0.000
0.500 0.500 0.500
0.000 0.500 0.000
0.000 0.000 0.000



[11]
CsZn2F6 PBE optimized geometry; relative energy among the computed polymorphs = 0 meV per atom; density = 3.776 g cm⁻³; crystal system = trigonal; SG = P-31m; uncorrected formation energy = -2.210 eV/atom
1.0
-1.132 1.336 -5.142
4.314 -3.108 1.111
-3.688 -5.323 -0.571
F Zn Cs
6 2 1
direct
0.397 0.000 0.676
0.000 0.397 0.676
0.000 0.603 0.324
0.397 0.397 0.324
0.603 0.000 0.324
0.603 0.603 0.676
0.333 0.667 0.500
0.667 0.333 0.500
0.000 0.000 0.000



[12]
DyTi2F8 PBE optimized geometry; density = 4.587 g cm⁻³; crystal system = monoclinic; SG = C2/m; uncorrected formation energy = -3.360 eV/atom
1.0
5.274 -0.274 -0.208
-0.316 5.810 1.028
-0.316 2.555 5.318
F Dy Ti
8 1 2
direct
0.750 0.614 0.614
0.256 0.898 0.378
0.744 0.102 0.622
0.744 0.622 0.102
0.718 0.130 0.130
0.256 0.378 0.898
0.282 0.870 0.870
0.250 0.386 0.386
0.000 0.000 0.000
0.485 0.268 0.268
0.515 0.732 0.732